LiPmTmLu | GGA-PBE | relaxed

E in Ry per atom: -0.276
Formation energy from the elements in eV per atom: 0.159
Size of the total moment in μB/f.u.: 0.00

a = 5.451 Å, b = 5.451 Å, c = 5.451 Å
α = 60.00°, β = 60.00°, γ = 60.00°
Sites, in units of the cell vectors:
Lu 0.500 0.500 0.500
Tm 0.750 0.750 0.750
Li 0.000 0.000 0.000
Pm 0.250 0.250 0.250



LiPmLuZn | GGA-PBE | relaxed

E in Ry per atom: -0.237
Formation energy from the elements in eV per atom: -0.110
Size of the total moment in μB/f.u.: 0.00

a = 5.120 Å, b = 5.120 Å, c = 5.120 Å
α = 60.00°, β = 60.00°, γ = 60.00°
Sites, in units of the cell vectors:
Zn 0.000 0.000 0.000
Lu 0.250 0.250 0.250
Pm 0.750 0.750 0.750
Li 0.500 0.500 0.500



Li4PrLu | GGA-PBE | relaxed

E in Ry per atom: -0.200
Formation energy from the elements in eV per atom: 0.109
Size of the total moment in μB/f.u.: 0.00

a = 5.874 Å, b = 5.874 Å, c = 5.874 Å
α = 60.00°, β = 60.00°, γ = 60.00°
Sites, in units of the cell vectors:
Pr 0.250 0.250 0.250
Lu 0.000 0.000 0.000
Li 0.626 0.626 0.123
Li 0.626 0.123 0.626
Li 0.626 0.626 0.626
Li 0.123 0.626 0.626



Li2PrLu | GGA-PBE | relaxed

E in Ry per atom: -0.230
Formation energy from the elements in eV per atom: 0.151
Size of the total moment in μB/f.u.: 0.00

a = 3.712 Å, b = 3.712 Å, c = 7.579 Å
α = 90.00°, β = 90.00°, γ = 90.00°
Sites, in units of the cell vectors:
Pr 0.500 0.500 0.500
Lu 0.500 0.500 0.000
Li 0.000 0.000 0.761
Li 0.000 0.000 0.239



LiPrLu2 | GGA-PBE | relaxed

E in Ry per atom: -0.274
Formation energy from the elements in eV per atom: 0.210
Size of the total moment in μB/f.u.: 0.01

a = 3.730 Å, b = 5.595 Å, c = 5.595 Å
α = 90.00°, β = 90.00°, γ = 90.00°
Sites, in units of the cell vectors:
Pr 0.500 0.000 0.000
Lu 0.000 0.000 0.500
Lu 0.000 0.500 0.000
Li 0.500 0.500 0.500



Li2PrLu | GGA-PBE | relaxed

E in Ry per atom: -0.230
Formation energy from the elements in eV per atom: 0.149
Size of the total moment in μB/f.u.: 0.00

a = 5.299 Å, b = 5.299 Å, c = 5.299 Å
α = 60.00°, β = 60.00°, γ = 60.00°
Sites, in units of the cell vectors:
Pr 0.500 0.500 0.500
Lu 0.000 0.000 0.000
Li 0.250 0.250 0.250
Li 0.750 0.750 0.750



LiPrLu2 | GGA-PBE | relaxed

E in Ry per atom: -0.282
Formation energy from the elements in eV per atom: 0.092
Size of the total moment in μB/f.u.: 0.00

a = 3.630 Å, b = 3.630 Å, c = 8.620 Å
α = 90.00°, β = 90.00°, γ = 90.00°
Sites, in units of the cell vectors:
Pr 0.500 0.500 0.500
Lu 0.000 0.000 0.787
Lu 0.000 0.000 0.213
Li 0.500 0.500 0.000



LiPrLuRu | GGA-PBE | relaxed

E in Ry per atom: -0.392
Formation energy from the elements in eV per atom: -0.212
Size of the total moment in μB/f.u.: 0.00

a = 4.963 Å, b = 4.963 Å, c = 4.963 Å
α = 60.00°, β = 60.00°, γ = 60.00°
Sites, in units of the cell vectors:
Pr 0.000 0.000 0.000
Ru 0.750 0.750 0.750
Lu 0.500 0.500 0.500
Li 0.250 0.250 0.250



LiPrLuSi | GGA-PBE | relaxed

Uncorrected formation energy in eV/atom: -0.32
E in Ry per atom: -0.329
Size of the total moment in μB/f.u.: 0.00

a = 5.026 Å, b = 5.026 Å, c = 5.026 Å
α = 60.00°, β = 60.00°, γ = 60.00°
Sites, in units of the cell vectors:
Pr 0.500 0.500 0.500
Si 0.750 0.750 0.750
Lu 0.000 0.000 0.000
Li 0.250 0.250 0.250



LiPrSmLu | GGA-PBE | relaxed

E in Ry per atom: -0.282
Formation energy from the elements in eV per atom: 0.140
Size of the total moment in μB/f.u.: 0.00

a = 5.545 Å, b = 5.545 Å, c = 5.545 Å
α = 60.00°, β = 60.00°, γ = 60.00°
Sites, in units of the cell vectors:
Pr 0.500 0.500 0.500
Lu 0.250 0.250 0.250
Sm 0.000 0.000 0.000
Li 0.750 0.750 0.750



LiPrLuTc | GGA-PBE | relaxed

E in Ry per atom: -0.395
Formation energy from the elements in eV per atom: 0.027
Size of the total moment in μB/f.u.: 0.00

a = 4.978 Å, b = 4.978 Å, c = 4.978 Å
α = 60.00°, β = 60.00°, γ = 60.00°
Sites, in units of the cell vectors:
Pr 0.250 0.250 0.250
Lu 0.750 0.750 0.750
Tc 0.500 0.500 0.500
Li 0.000 0.000 0.000



LiPrLuTh | GGA-PBE | relaxed

E in Ry per atom: -0.328
Formation energy from the elements in eV per atom: 0.199
Size of the total moment in μB/f.u.: 0.00

a = 5.506 Å, b = 5.506 Å, c = 5.506 Å
α = 60.00°, β = 60.00°, γ = 60.00°
Sites, in units of the cell vectors:
Pr 0.250 0.250 0.250
Lu 0.500 0.500 0.500
Th 0.750 0.750 0.750
Li 0.000 0.000 0.000



LiPrTmLu | GGA-PBE | relaxed

E in Ry per atom: -0.277
Formation energy from the elements in eV per atom: 0.157
Size of the total moment in μB/f.u.: 0.00

a = 5.485 Å, b = 5.485 Å, c = 5.485 Å
α = 60.00°, β = 60.00°, γ = 60.00°
Sites, in units of the cell vectors:
Pr 0.750 0.750 0.750
Lu 0.000 0.000 0.000
Tm 0.250 0.250 0.250
Li 0.500 0.500 0.500



LiPrLuZn | GGA-PBE | relaxed

E in Ry per atom: -0.237
Formation energy from the elements in eV per atom: -0.104
Size of the total moment in μB/f.u.: 0.00

a = 5.162 Å, b = 5.162 Å, c = 5.162 Å
α = 60.00°, β = 60.00°, γ = 60.00°
Sites, in units of the cell vectors:
Pr 0.250 0.250 0.250
Zn 0.000 0.000 0.000
Lu 0.750 0.750 0.750
Li 0.500 0.500 0.500



LiLuPt2 | GGA-PBE | relaxed

E in Ry per atom: -0.413
Formation energy from the elements in eV per atom: -0.989
Size of the total moment in μB/f.u.: 0.00

a = 4.605 Å, b = 4.605 Å, c = 4.605 Å
α = 60.00°, β = 60.00°, γ = 60.00°
Sites, in units of the cell vectors:
Lu 0.000 0.000 0.000
Pt 0.250 0.250 0.250
Pt 0.750 0.750 0.750
Li 0.500 0.500 0.500



Li2LuPt | GGA-PBE | relaxed

E in Ry per atom: -0.295
Formation energy from the elements in eV per atom: -0.414
Size of the total moment in μB/f.u.: 0.00

a = 4.518 Å, b = 4.518 Å, c = 4.513 Å
α = 59.96°, β = 59.96°, γ = 60.00°
Sites, in units of the cell vectors:
Lu 0.000 0.000 0.000
Pt 0.500 0.500 0.500
Li 0.250 0.250 0.249
Li 0.750 0.750 0.751



LiLuPt4 | GGA-PBE | relaxed

E in Ry per atom: -0.437
Formation energy from the elements in eV per atom: -0.846
Size of the total moment in μB/f.u.: 0.00

a = 5.323 Å, b = 5.323 Å, c = 5.323 Å
α = 60.00°, β = 60.00°, γ = 60.00°
Sites, in units of the cell vectors:
Lu 0.000 0.000 0.000
Pt 0.625 0.625 0.126
Pt 0.625 0.126 0.625
Pt 0.625 0.625 0.625
Pt 0.126 0.625 0.625
Li 0.250 0.250 0.250



LiLuPt2 | GGA-PBE | relaxed

E in Ry per atom: -0.416
Formation energy from the elements in eV per atom: -1.037
Size of the total moment in μB/f.u.: 0.00

a = 3.412 Å, b = 3.412 Å, c = 5.835 Å
α = 90.00°, β = 90.00°, γ = 90.00°
Sites, in units of the cell vectors:
Lu 0.500 0.500 0.500
Pt 0.000 0.000 0.765
Pt 0.000 0.000 0.235
Li 0.500 0.500 0.000



LiLuPuPt | GGA-PBE | relaxed

E in Ry per atom: -0.529
Formation energy from the elements in eV per atom: -0.493
Size of the total moment in μB/f.u.: 5.68

a = 4.926 Å, b = 4.926 Å, c = 4.926 Å
α = 60.00°, β = 60.00°, γ = 60.00°
Sites, in units of the cell vectors:
Lu 0.250 0.250 0.250
Li 0.500 0.500 0.500
Pt 0.000 0.000 0.000
Pu 0.750 0.750 0.750



LiLuPtRh | GGA-PBE | relaxed

E in Ry per atom: -0.424
Formation energy from the elements in eV per atom: -0.807
Size of the total moment in μB/f.u.: 0.00

a = 4.534 Å, b = 4.534 Å, c = 4.534 Å
α = 60.00°, β = 60.00°, γ = 60.00°
Sites, in units of the cell vectors:
Lu 0.000 0.000 0.000
Rh 0.250 0.250 0.250
Pt 0.750 0.750 0.750
Li 0.500 0.500 0.500



LiLuScPt | GGA-PBE | relaxed

E in Ry per atom: -0.399
Formation energy from the elements in eV per atom: -0.733
Size of the total moment in μB/f.u.: 0.00

a = 4.772 Å, b = 4.772 Å, c = 4.772 Å
α = 60.00°, β = 60.00°, γ = 60.00°
Sites, in units of the cell vectors:
Sc 0.750 0.750 0.750
Lu 0.250 0.250 0.250
Pt 0.000 0.000 0.000
Li 0.500 0.500 0.500



LiSmLuPt | GGA-PBE | relaxed

E in Ry per atom: -0.364
Formation energy from the elements in eV per atom: -0.651
Size of the total moment in μB/f.u.: 0.00

a = 4.983 Å, b = 4.983 Å, c = 4.983 Å
α = 60.00°, β = 60.00°, γ = 60.00°
Sites, in units of the cell vectors:
Lu 0.000 0.000 0.000
Sm 0.500 0.500 0.500
Pt 0.750 0.750 0.750
Li 0.250 0.250 0.250



SrLiLuPt | GGA-PBE | relaxed

E in Ry per atom: -0.294
Formation energy from the elements in eV per atom: -0.460
Size of the total moment in μB/f.u.: 0.00

a = 5.087 Å, b = 5.087 Å, c = 5.087 Å
α = 60.00°, β = 60.00°, γ = 60.00°
Sites, in units of the cell vectors:
Sr 0.500 0.500 0.500
Lu 0.000 0.000 0.000
Pt 0.750 0.750 0.750
Li 0.250 0.250 0.250



LiLuTlPt | GGA-PBE | relaxed

E in Ry per atom: -0.319
Formation energy from the elements in eV per atom: -0.632
Size of the total moment in μB/f.u.: 0.00

a = 4.774 Å, b = 4.774 Å, c = 4.774 Å
α = 60.00°, β = 60.00°, γ = 60.00°
Sites, in units of the cell vectors:
Tl 0.500 0.500 0.500
Lu 0.000 0.000 0.000
Pt 0.750 0.750 0.750
Li 0.250 0.250 0.250



LiLuZrPt | GGA-PBE | relaxed

E in Ry per atom: -0.428
Formation energy from the elements in eV per atom: -0.567
Size of the total moment in μB/f.u.: 0.01

a = 4.792 Å, b = 4.792 Å, c = 4.792 Å
α = 60.00°, β = 60.00°, γ = 60.00°
Sites, in units of the cell vectors:
Lu 0.250 0.250 0.250
Zr 0.750 0.750 0.750
Pt 0.000 0.000 0.000
Li 0.500 0.500 0.500



LiLu2Pu | GGA-PBE | relaxed

E in Ry per atom: -0.454
Formation energy from the elements in eV per atom: 0.149
Size of the total moment in μB/f.u.: 6.43

a = 3.411 Å, b = 3.411 Å, c = 9.056 Å
α = 90.00°, β = 90.00°, γ = 90.00°
Sites, in units of the cell vectors:
Lu 0.000 0.000 0.762
Lu 0.000 0.000 0.238
Li 0.500 0.500 0.000
Pu 0.500 0.500 0.500



LiLu2Pu | GGA-PBE | relaxed

E in Ry per atom: -0.450
Formation energy from the elements in eV per atom: 0.202
Size of the total moment in μB/f.u.: 6.88

a = 3.497 Å, b = 5.464 Å, c = 5.464 Å
α = 90.00°, β = 90.00°, γ = 90.00°
Sites, in units of the cell vectors:
Lu 0.000 0.000 0.500
Lu 0.000 0.500 0.000
Li 0.500 0.500 0.500
Pu 0.500 0.000 0.000



LiLuPu | GGA-PBE | relaxed

E in Ry per atom: -0.492
Formation energy from the elements in eV per atom: 0.230
Size of the total moment in μB/f.u.: 5.80

a = 3.321 Å, b = 3.321 Å, c = 8.260 Å
α = 90.00°, β = 90.00°, γ = 120.00°
Sites, in units of the cell vectors:
Lu 0.667 0.333 0.336
Li 0.333 0.667 0.666
Pu 0.000 0.000 0.998



LiLuPu | GGA-PBE | relaxed

E in Ry per atom: -0.491
Formation energy from the elements in eV per atom: 0.242
Size of the total moment in μB/f.u.: 6.14

a = 3.289 Å, b = 3.289 Å, c = 7.538 Å
α = 102.60°, β = 102.60°, γ = 90.00°
Sites, in units of the cell vectors:
Lu 0.337 0.337 0.674
Li 0.000 0.000 0.000
Pu 0.663 0.663 0.325



LiLu2Pu | GGA-PBE | relaxed

E in Ry per atom: -0.447
Formation energy from the elements in eV per atom: 0.245
Size of the total moment in μB/f.u.: 5.66

a = 3.341 Å, b = 3.341 Å, c = 11.828 Å
α = 81.88°, β = 81.88°, γ = 60.00°
Sites, in units of the cell vectors:
Lu 0.089 0.089 0.732
Lu 0.911 0.911 0.268
Li 0.000 0.000 0.000
Pu 0.500 0.500 0.500



LiLuPuRu | GGA-PBE | relaxed

E in Ry per atom: -0.562
Formation energy from the elements in eV per atom: -0.131
Size of the total moment in μB/f.u.: 5.61

a = 4.841 Å, b = 4.841 Å, c = 4.841 Å
α = 60.00°, β = 60.00°, γ = 60.00°
Sites, in units of the cell vectors:
Ru 0.750 0.750 0.750
Lu 0.000 0.000 0.000
Pu 0.500 0.500 0.500
Li 0.250 0.250 0.250